1.
This record from Alexandria via LeMat-Bulk describes a relaxed structure of La2PrCrN4. The functional is GGA-PBE.

It has space group Cmcm (No. 63), with a = 3.531 Å, b = 11.944 Å, c = 12.478 Å, α = 90.00°, β = 90.00° and γ = 90.00°. The distinct sites, in fractional coordinates, are La at (0.000, 0.134, 0.043), Pr at (0.000, 0.396, 0.250), Cr at (0.000, 0.330, 0.750), N at (0.000, 0.091, 0.250), N at (0.000, 0.227, 0.640) and N at (0.000, 0.500, 0.000).

The total energy comes out at -8.2068 eV/atom. For the raw formation energy, the calculation gives -23.33 kcal/mol of atoms. The value obtained for the magnetic moment is 2.1 μB/f.u.

2.
This record from Alexandria via LeMat-Bulk describes a relaxed structure of TlP2Au. The functional is GGA-PBE.

It has space group Immm (No. 71), with a = 4.267 Å, b = 6.509 Å, c = 7.383 Å, α = 90.00°, β = 90.00° and γ = 90.00°. The distinct sites, in fractional coordinates, are Tl at (0.000, 0.000, 0.000), P at (0.000, 0.500, 0.158) and Au at (0.000, 0.000, 0.500).

The total energy comes out at -3.8030 eV/atom. For the energy above the most stable polymorph in this dataset, the calculation gives 343 meV/atom. The calculation puts the energy relative to the elements at 0.313 eV per atom. The value obtained for the magnetic moment is 0.0 μB/f.u.

3.
This record from Alexandria via LeMat-Bulk describes a relaxed structure of Mn2Ru3. The functional is GGA-PBE.

It has space group R-3m (No. 166, hexagonal axes), with a = 2.6527 Å, b = 2.6527 Å, c = 31.9516 Å, α = 90.00°, β = 90.00° and γ = 120.00°. The distinct sites, in fractional coordinates, are Mn at (0.0000, 0.0000, 0.1001), Ru at (0.0000, 0.0000, 0.2966) and Ru at (0.0000, 0.0000, 0.5000).

The total energy comes out at -9.0938 eV/atom. For the energy above the most stable polymorph in this dataset, the calculation gives 0 meV/atom. The calculation puts the energy relative to the elements at 0.140 eV per atom. The value obtained for the magnetic moment is 1.9 μB/f.u.

4.
This record from Alexandria via LeMat-Bulk describes a relaxed structure of Li3In2Au. The functional is GGA-PBE.

It has space group Cmmm (No. 65), with a = 4.487 Å, b = 13.467 Å, c = 3.556 Å, α = 90.00°, β = 90.00° and γ = 90.00°. The distinct sites, in fractional coordinates, are Li at (0.000, 0.000, 0.000), Li at (0.000, 0.345, 0.000), In at (0.000, 0.165, 0.500) and Au at (0.000, 0.500, 0.500).

The total energy comes out at -2.7902 eV/atom. The calculation puts the energy relative to the elements at -0.374 eV per atom. The value obtained for the magnetic moment is 0.0 μB/f.u.

5.
This record from Alexandria via LeMat-Bulk describes a relaxed structure of PuHg2Au. The functional is GGA-PBE.

It has space group Fm-3m (No. 225), with a = 7.203 Å, b = 7.203 Å, c = 7.203 Å, α = 90.00°, β = 90.00° and γ = 90.00°. The distinct sites, in fractional coordinates, are Pu at (0.000, 0.000, 0.000), Hg at (0.250, 0.250, 0.250) and Au at (0.000, 0.000, 0.500).

The total energy comes out at -4.6899 eV/atom. For the energy above the most stable polymorph in this dataset, the calculation gives 66 meV/atom. The calculation puts the energy relative to the elements at -0.137 eV per atom. The value obtained for the magnetic moment is 5.7 μB/f.u.

6.
This record from Alexandria via LeMat-Bulk describes a relaxed structure of TiNb2Mo6. The functional is GGA-PBE.

It has space group P-1 (No. 2), with a = 2.793 Å, b = 6.934 Å, c = 7.791 Å, α = 100.87°, β = 90.13° and γ = 97.97°. The distinct sites, in fractional coordinates, are Ti at (0.000, 0.000, 0.000), Nb at (0.114, 0.332, 0.557), Mo at (0.232, 0.668, 0.108), Mo at (0.342, 0.002, 0.670) and Mo at (0.450, 0.331, 0.217).

The total energy comes out at -10.4403 eV/atom. The calculation puts the energy relative to the elements at -0.105 eV per atom. The value obtained for the magnetic moment is 0.0 μB/f.u.

7.
This record from Alexandria via LeMat-Bulk describes a relaxed structure of Dy5Ho. The functional is GGA-PBE.

It has space group Cmmm (No. 65), with a = 4.993 Å, b = 14.987 Å, c = 4.990 Å, α = 90.00°, β = 90.00° and γ = 90.00°. The distinct sites, in fractional coordinates, are Dy at (0.000, 0.000, 0.000), Dy at (0.000, 0.166, 0.500), Dy at (0.000, 0.333, 0.000) and Ho at (0.000, 0.500, 0.500).

The total energy comes out at -4.5801 eV/atom. The calculation puts the energy relative to the elements at 0.018 eV per atom. The value obtained for the magnetic moment is 0.0 μB/f.u.

8.
This record from Alexandria via LeMat-Bulk describes a relaxed structure of ScBi2Te4. The functional is GGA-PBE.

It has space group Cmcm (No. 63), with a = 4.059 Å, b = 15.715 Å, c = 14.624 Å, α = 90.00°, β = 90.00° and γ = 90.00°. The distinct sites, in fractional coordinates, are Sc at (0.000, 0.116, 0.250), Bi at (0.000, 0.366, 0.075), Te at (0.000, 0.000, 0.000), Te at (0.000, 0.299, 0.626) and Te at (0.000, 0.481, 0.250).

The total energy comes out at -4.2223 eV/atom. For the raw formation energy, the calculation gives -9.54 kcal/mol of atoms. For the energy above the most stable polymorph in this dataset, the calculation gives 0 meV/atom. The value obtained for the magnetic moment is 0.0 μB/f.u.